Entry from Alexandria: an optimized crystal structure of HgBi2P2 (GGA-PBE).

Energy above the lowest structure with this stoichiometry ... 0.0 kJ/mol of atoms
Formation energy ... 0.199 eV/atom
Theoretical density ... 8.784 Mg/m³

Cell lengths 5.576, 5.576, 5.715 Å; angles 60.80, 60.80, 90.00 degrees
Fractional coordinates of all 5 atoms:
Hg  0.000  0.000  0.000
Bi  0.250  0.750  0.500
Bi  0.750  0.250  0.500
P  0.366  0.366  0.269
P  0.634  0.634  0.731

***

Entry from Alexandria: an optimized crystal structure of ZrCoTe3 (GGA-PBE).

Energy above the lowest structure with this stoichiometry ... 0.0 kJ/mol of atoms
ΔE_f (raw) ... 0.2544 eV per atom
Theoretical density ... 7.166 Mg/m³

Cell lengths 4.980, 4.980, 4.980 Å; angles 90.00, 90.00, 90.00 degrees
Fractional coordinates of all 5 atoms:
Zr  0.500  0.500  0.500
Te  0.000  0.500  0.000
Te  0.000  0.000  0.500
Te  0.500  0.000  0.000
Co  0.000  0.000  0.000

***

Entry from Alexandria: an optimized crystal structure of AlBi3O6 (GGA-PBE).

Energy above the lowest structure with this stoichiometry ... 0.0 kJ/mol of atoms
ΔE_f (raw) ... -1.6344 eV per atom
Theoretical density ... 8.282 Mg/m³

Cell lengths 5.623, 7.409, 7.409 Å; angles 103.04, 90.00, 90.00 degrees
Fractional coordinates of all 20 atoms:
O  0.212  0.670  0.643
O  0.658  0.587  0.105
O  0.712  0.643  0.670
O  0.702  0.213  0.787
O  0.158  0.413  0.895
O  0.633  0.949  0.051
O  0.658  0.895  0.413
O  0.158  0.105  0.587
O  0.133  0.051  0.949
O  0.212  0.357  0.330
O  0.712  0.330  0.357
O  0.202  0.787  0.213
Al  0.014  0.193  0.807
Al  0.514  0.807  0.193
Bi  0.946  0.604  0.396
Bi  0.975  0.083  0.301
Bi  0.975  0.699  0.917
Bi  0.475  0.917  0.699
Bi  0.475  0.301  0.083
Bi  0.446  0.396  0.604

***

Entry from Alexandria: an optimized crystal structure of InHgGe (GGA-PBE).

Energy above the lowest structure with this stoichiometry ... 0.0 kJ/mol of atoms
Formation energy ... 0.123 eV/atom
Theoretical density ... 7.698 Mg/m³

Cell lengths 4.176, 3.830, 10.673 Å; angles 90.00, 101.28, 90.00 degrees
Fractional coordinates of all 6 atoms:
Hg  0.790  0.750  0.580
Hg  0.210  0.250  0.420
In  0.088  0.750  0.175
In  0.912  0.250  0.825
Ge  0.458  0.750  0.916
Ge  0.542  0.250  0.084

***

Entry from Alexandria: an optimized crystal structure of BaDy4Ag5 (GGA-PBE).

Formation energy ... -0.279 eV/atom
Theoretical density ... 8.552 Mg/m³

Cell lengths 3.695, 3.695, 18.872 Å; angles 90.00, 90.00, 90.00 degrees
Fractional coordinates of all 10 atoms:
Ag  0.500  0.500  0.309
Ag  0.500  0.500  0.691
Ag  0.500  0.500  0.500
Ag  0.500  0.500  0.871
Ag  0.500  0.500  0.129
Ba  0.000  0.000  0.000
Dy  0.000  0.000  0.405
Dy  0.000  0.000  0.595
Dy  0.000  0.000  0.213
Dy  0.000  0.000  0.787

***

Entry from Alexandria: an optimized crystal structure of Eu2LuCd (GGA-PBE).

Energy above the lowest structure with this stoichiometry ... 0.0 kJ/mol of atoms
Formation energy ... -0.075 eV/atom
Theoretical density ... 7.500 Mg/m³

Cell lengths 3.769, 3.769, 9.215 Å; angles 90.00, 90.00, 90.00 degrees
Fractional coordinates of all 4 atoms:
Lu  0.500  0.500  0.500
Cd  0.500  0.500  0.000
Eu  0.000  0.000  0.775
Eu  0.000  0.000  0.225

***

Number 1: total moment 0.000 μB per formula unit. Number 2: total moment 0.000 μB per formula unit. Number 3: total moment 0.000 μB per formula unit. Number 4: total moment 0.000 μB per formula unit. Number 5: total moment 0.000 μB per formula unit. Number 6: total moment 15.467 μB per formula unit.